The following is a DFT calculation (PBE-GGA) of KLiH6Pt after structural relaxation.

Summary:
* DFT total energy: -32.437 eV/cell
* V: 12.60 Å³ per atom
* SG: P312 (149)
* mass density: 3.6 Mg/m³
* density of states at the Fermi level: 0.000 states/eV/atom

Lattice parameters (Å, degrees): 4.896 4.896 5.462 90.00 90.00 120.00
Fractional positions:
K: 0.000 0.000 0.000
Li: 0.333 0.667 0.500
H: 0.397 0.058 0.676
H: 0.397 0.339 0.324
H: 0.661 0.058 0.324
H: 0.661 0.603 0.676
H: 0.942 0.339 0.676
H: 0.942 0.603 0.324
Pt: 0.667 0.333 0.500

---

The following is a DFT calculation (PBE-GGA) of CaLaAu2 after structural relaxation.

Summary:
* DFT total energy: -16.677 eV/cell
* V: 25.60 Å³ per atom
* SG: P4/mmm (123)
* mass density: 9.3 Mg/m³
* density of states at the Fermi level: 0.713 states/eV/atom

Lattice parameters (Å, degrees): 5.252 5.252 3.712 90.00 90.00 90.00
Fractional positions:
Ca: 0.000 0.000 0.000
La: 0.500 0.500 0.000
Au: 0.000 0.500 0.500
Au: 0.500 0.000 0.500

---

The following is a DFT calculation (PBE-GGA) of CeGaTe2 after structural relaxation.

Summary:
* DFT total energy: -18.319 eV/cell
* V: 27.44 Å³ per atom
* energy above the most stable polymorph in this dataset: 0.72 eV per formula unit
* SG: P4/mmm (123)
* mass density: 7.0 Mg/m³
* density of states at the Fermi level: 1.721 states/eV/atom

Lattice parameters (Å, degrees): 5.210 5.210 4.044 90.00 90.00 90.00
Fractional positions:
Ce: 0.000 0.000 0.000
Ga: 0.500 0.500 0.000
Te: 0.000 0.500 0.500
Te: 0.500 0.000 0.500

---

The following is a DFT calculation (PBE-GGA) of Nd3Si2Ge2 after structural relaxation.

Summary:
* DFT total energy: -79.334 eV/cell
* V: 23.37 Å³ per atom
* SG: C2/m (12)
* mass density: 6.4 Mg/m³
* density of states at the Fermi level: 0.542 states/eV/atom

Lattice parameters (Å, degrees): 11.050 4.239 7.748 90.00 115.67 90.00
Fractional positions:
Nd: 0.000 0.000 0.000
Nd: 0.184 0.000 0.641
Nd: 0.316 0.500 0.359
Nd: 0.500 0.500 0.000
Nd: 0.684 0.500 0.641
Nd: 0.816 0.000 0.359
Si: 0.195 0.500 0.927
Si: 0.305 0.000 0.073
Si: 0.695 0.000 0.927
Si: 0.805 0.500 0.073
Ge: 0.033 0.500 0.337
Ge: 0.467 0.000 0.663
Ge: 0.533 0.000 0.337
Ge: 0.967 0.500 0.663